(1)
VASP calculation (PBE) on a relaxed SrTa2Cl crystal.

Calculated volume, Å³/atom: 27.5
Energy above the most stable polymorph in this dataset, meV per atom: 416
DOS(E_F), states/eV/f.u.: 4.55

Cell: 7.3638 3.8628 3.8628 Å, 90.00 90.00 90.00°
With the nearest neighbours (Å) after each atom.
Positions (direct):
Cl1 0.5000 0.5000 0.0000  4 Sr 2.73
Ta1 0.0000 0.0000 0.0000  4 Ta 2.73
Sr1 0.5000 0.0000 0.5000  4 Cl 2.73
Ta2 0.0000 0.5000 0.5000  4 Ta 2.73

(2)
VASP calculation (PBE) on a relaxed SrTaCl2 crystal.

Calculated volume, Å³/atom: 25.7
Energy above the most stable polymorph in this dataset, meV per atom: 564
DOS(E_F), states/eV/f.u.: 3.96

Cell: 6.9444 6.9444 6.9490 Å, 146.29 146.27 48.35°
With the nearest neighbours (Å) after each atom.
Positions (direct):
Sr1 0.5000 0.5000 0.0000  4 Cl 2.84-2.85
Cl1 0.0000 0.0000 0.0000  4 Sr 2.84-2.85
Ta1 0.7500 0.2500 0.5000  4 Cl 2.84-2.85
Cl2 0.2500 0.7500 0.5000  4 Ta 2.84-2.85

(3)
VASP calculation (PBE) on a relaxed SrTaCl2 crystal.

Calculated volume, Å³/atom: 24.1
Energy above the most stable polymorph in this dataset, meV per atom: 210
DOS(E_F), states/eV/f.u.: 1.86

Cell: 5.8997 5.8997 5.8997 Å, 148.11 115.30 73.95°
With the nearest neighbours (Å) after each atom.
Positions (direct):
Ta1 0.2500 0.7500 0.5000  4 Cl 2.56
Sr1 0.7500 0.2500 0.5000  4 Cl 3.18, 2 Sr 3.24, 4 Ta 3.55
Cl1 0.4596 0.4596 0.0000  2 Ta 2.56
Cl2 0.0404 0.0404 0.0000  2 Ta 2.56

(4)
VASP calculation (PBE) on a relaxed SrTa2Cl crystal.

Calculated volume, Å³/atom: 25.6
Energy above the most stable polymorph in this dataset, meV per atom: 288
DOS(E_F), states/eV/f.u.: 4.04

Cell: 7.5901 7.5901 7.5901 Å, 155.37 145.67 42.71°
With the nearest neighbours (Å) after each atom.
Positions (direct):
Ta1 0.9958 0.9958 0.0000  4 Ta 2.77
Cl1 0.7500 0.2500 0.5000  4 Sr 2.76
Ta2 0.5042 0.5042 0.0000  4 Ta 2.77
Sr1 0.2500 0.7500 0.5000  4 Cl 2.76

(5)
VASP calculation (PBE) on a relaxed SrTaTcCl2 crystal.

E_tot, eV/cell: -22.26
Calculated volume, Å³/atom: 40.0
DOS(E_F), states/eV/f.u.: 7.07

Cell: 5.1665 7.4896 5.1665 Å, 90.00 90.00 90.00°
With the nearest neighbours (Å) after each atom.
Positions (direct):
Tc1 0.5000 0.5000 0.5000  4 Ta 3.65
Cl1 0.0000 0.0000 0.5000  2 Sr 2.58
Sr1 0.0000 0.0000 0.0000  4 Cl 2.58
Ta1 0.0000 0.5000 0.0000  4 Tc 3.65, 2 Sr 3.74
Cl2 0.5000 0.0000 0.0000  2 Sr 2.58

(6)
VASP calculation (PBE) on a relaxed SrTaV2Cl crystal.

E_tot, eV/cell: -28.87
Calculated volume, Å³/atom: 20.8
DOS(E_F), states/eV/f.u.: 5.87

Cell: 4.4785 5.1767 4.4785 Å, 90.00 90.00 90.00°
With the nearest neighbours (Å) after each atom.
Positions (direct):
Sr1 0.0000 0.5000 0.0000  2 Cl 2.59
Ta1 0.5000 0.5000 0.5000  4 Sr 3.17, 8 V 3.42
V1 0.0000 0.0000 0.5000  2 Cl 2.24
Cl1 0.0000 0.0000 0.0000  4 V 2.24
V2 0.5000 0.0000 0.0000  2 Cl 2.24

(7)
VASP calculation (PBE) on a relaxed SrZr2TaCl crystal.

E_tot, eV/cell: -21.14
Calculated volume, Å³/atom: 28.9
DOS(E_F), states/eV/f.u.: 8.38

Cell: 5.3717 5.0008 5.3717 Å, 90.00 90.00 90.00°
With the nearest neighbours (Å) after each atom.
Positions (direct):
Zr1 0.5000 0.0000 0.0000  2 Sr 2.69
Cl1 0.5000 0.5000 0.5000  8 Zr 3.67, 4 Ta 3.80
Sr1 0.0000 0.0000 0.0000  2 Ta 2.50, 4 Zr 2.69
Ta1 0.0000 0.5000 0.0000  2 Sr 2.50
Zr2 0.0000 0.0000 0.5000  2 Sr 2.69

(8)
VASP calculation (PBE) on a relaxed SrZrTa2Cl crystal.

E_tot, eV/cell: -32.08
Calculated volume, Å³/atom: 22.9
DOS(E_F), states/eV/f.u.: 7.77

Cell: 4.6679 5.2494 4.6679 Å, 90.00 90.00 90.00°
With the nearest neighbours (Å) after each atom.
Positions (direct):
Cl1 0.0000 0.0000 0.0000  4 Ta 2.33
Zr1 0.5000 0.5000 0.5000  4 Sr 3.30, 8 Ta 3.51
Ta1 0.0000 0.0000 0.5000  2 Cl 2.33
Ta2 0.5000 0.0000 0.0000  2 Cl 2.33
Sr1 0.0000 0.5000 0.0000  2 Cl 2.62

(9)
VASP calculation (PBE) on a relaxed Sr2TbCl6 crystal.

E_tot, eV/cell: -77.84
Calculated volume, Å³/atom: 32.4
DOS(E_F), states/eV/f.u.: 0.65

Cell: 6.8967 6.8967 12.2539 Å, 90.00 90.00 90.00°
With the nearest neighbours (Å) after each atom.
Positions (direct):
Cl1 0.2945 0.2945 0.6529  1 Tb 2.74, 2 Sr 2.89-2.90
Cl2 0.2843 0.2843 0.0000  1 Tb 2.77, 2 Sr 3.02
Sr1 0.5000 0.5000 0.8236  6 Cl 2.89-3.02
Cl3 0.7945 0.2055 0.8471  1 Tb 2.74, 2 Sr 2.89-2.90
Sr2 0.0000 0.0000 0.6764  6 Cl 2.89-3.02
Sr3 0.5000 0.5000 0.1764  6 Cl 2.89-3.02
Cl4 0.7055 0.7055 0.3471  1 Tb 2.74, 2 Sr 2.89-2.90
Cl5 0.7945 0.2055 0.1529  1 Tb 2.74, 2 Sr 2.89-2.90
Cl6 0.7843 0.2157 0.5000  1 Tb 2.77, 2 Sr 3.02
Cl7 0.2055 0.7945 0.1529  1 Tb 2.74, 2 Sr 2.89-2.90
Cl8 0.2945 0.2945 0.3471  1 Tb 2.74, 2 Sr 2.89-2.90
Sr4 0.0000 0.0000 0.3236  6 Cl 2.89-3.02
Tb1 0.5000 0.5000 0.5000  6 Cl 2.74-2.77
Tb2 0.0000 0.0000 0.0000  6 Cl 2.74-2.77
Cl9 0.7157 0.7157 0.0000  1 Tb 2.77, 2 Sr 3.02
Cl10 0.7055 0.7055 0.6529  1 Tb 2.74, 2 Sr 2.89-2.90
Cl11 0.2055 0.7945 0.8471  1 Tb 2.74, 2 Sr 2.89-2.90
Cl12 0.2157 0.7843 0.5000  1 Tb 2.77, 2 Sr 3.02

(10)
VASP calculation (PBE) on a relaxed SrTbTlCl6 crystal.

E_tot, eV/cell: -77.10
Calculated volume, Å³/atom: 35.4
DOS(E_F), states/eV/f.u.: 0.00

Cell: 7.3845 7.3845 13.4821 Å, 90.00 90.00 120.00°
With the nearest neighbours (Å) after each atom.
Positions (direct):
Tb1 0.3333 0.6667 0.7500  6 Cl 2.67
Tb2 0.6667 0.3333 0.2500  6 Cl 2.67
Tl1 0.0000 0.0000 0.0000  6 Cl 3.30
Cl1 0.3561 0.9754 0.6375  1 Tb 2.67, 1 Sr 2.91
Cl2 0.3561 0.3808 0.8625  1 Tb 2.67, 1 Sr 2.91
Sr1 0.3333 0.6667 0.2500  6 Cl 2.91
Cl3 0.3808 0.0246 0.1375  1 Tb 2.67, 1 Sr 2.91
Cl4 0.9754 0.6192 0.3625  1 Tb 2.67, 1 Sr 2.91
Cl5 0.0246 0.3808 0.6375  1 Tb 2.67, 1 Sr 2.91
Cl6 0.6439 0.0246 0.3625  1 Tb 2.67, 1 Sr 2.91
Sr2 0.6667 0.3333 0.7500  6 Cl 2.91
Cl7 0.6192 0.6439 0.6375  1 Tb 2.67, 1 Sr 2.91
Tl2 0.0000 0.0000 0.5000  6 Cl 3.30
Cl8 0.3808 0.3561 0.3625  1 Tb 2.67, 1 Sr 2.91
Cl9 0.6439 0.6192 0.1375  1 Tb 2.67, 1 Sr 2.91
Cl10 0.9754 0.3561 0.1375  1 Tb 2.67, 1 Sr 2.91
Cl11 0.6192 0.9754 0.8625  1 Tb 2.67, 1 Sr 2.91
Cl12 0.0246 0.6439 0.8625  1 Tb 2.67, 1 Sr 2.91

(11)
VASP calculation (PBE) on a relaxed Sr2TbTlCl8 crystal.

E_tot, eV/cell: -50.98
Calculated volume, Å³/atom: 34.0
DOS(E_F), states/eV/f.u.: 0.00

Cell: 6.8005 6.5941 9.0951 Å, 90.00 90.00 89.99°
With the nearest neighbours (Å) after each atom.
Positions (direct):
Sr1 0.5000 0.5000 0.7495  6 Cl 2.86-3.04
Cl1 0.8305 0.2205 0.7915  1 Tb 2.65, 1 Sr 2.93
Sr2 0.5000 0.5000 0.2505  6 Cl 2.86-3.04
Cl2 0.6400 0.7205 0.5000  2 Sr 2.86, 1 Tl 3.06
Cl3 0.1695 0.7795 0.2085  1 Tb 2.65, 1 Sr 2.93
Cl4 0.6901 0.7354 0.0000  1 Tb 2.74, 2 Sr 3.04
Cl5 0.8305 0.2205 0.2085  1 Tb 2.65, 1 Sr 2.93
Cl6 0.3099 0.2646 0.0000  1 Tb 2.74, 2 Sr 3.04
Cl7 0.1695 0.7795 0.7915  1 Tb 2.65, 1 Sr 2.93
Tb1 0.0000 0.0000 0.0000  6 Cl 2.65-2.74
Cl8 0.3600 0.2795 0.5000  2 Sr 2.86, 1 Tl 3.06
Tl1 0.0000 0.0000 0.5000  6 Cl 3.06-3.24

(12)
VASP calculation (PBE) on a relaxed SrTcCl3 crystal.

Calculated volume, Å³/atom: 35.8
Energy above the most stable polymorph in this dataset, meV per atom: 247
DOS(E_F), states/eV/f.u.: 3.46

Cell: 5.6341 5.6341 5.6341 Å, 90.00 90.00 90.00°
With the nearest neighbours (Å) after each atom.
Positions (direct):
Cl1 0.0000 0.0000 0.5000  2 Sr 2.82
Sr1 0.0000 0.0000 0.0000  6 Cl 2.82
Cl2 0.0000 0.5000 0.0000  2 Sr 2.82
Tc1 0.5000 0.5000 0.5000  12 Cl 3.98
Cl3 0.5000 0.0000 0.0000  2 Sr 2.82